Entry 1:
First-principles (GGA-PBE) data for an optimized crystal structure of SrSiH2, as listed in Alexandria.

Output
**Energy**: -3.376 eV/atom
**Space group**: I-42d
**M_tot**: 0.00 μB/f.u.

Cell: 4.5396 4.5396 6.6083 Å, 69.91 69.91 90.00°
Element x y z (fractional)
1 Sr 0.0000 0.0000 0.0000
2 Sr 0.7500 0.2500 0.5000
3 Si 0.5000 0.5000 0.0000
4 Si 0.2500 0.7500 0.5000
5 H 0.4499 0.1250 0.2500
6 H 0.3001 0.6250 0.2500
7 H 0.3750 0.5501 0.7500
8 H 0.8750 0.6999 0.7500


Entry 2:
First-principles (GGA-PBE) data for an optimized crystal structure of SrSiH6, as listed in Alexandria.

Output
**Energy**: -3.624 eV/atom
**Space group**: R-3m
**M_tot**: 0.00 μB/f.u.

Cell: 4.3095 5.5960 4.3085 Å, 49.50 80.99 76.05°
Element x y z (fractional)
1 Sr 0.0000 0.0000 0.0000
2 Si 0.5000 0.5000 0.0000
3 H 0.7669 0.5711 0.6618
4 H 0.7669 0.2329 0.3382
5 H 0.2331 0.7671 0.6618
6 H 0.2331 0.4289 0.3382
7 H 0.5712 0.7670 0.0000
8 H 0.4288 0.2330 0.0000


Entry 3:
First-principles (GGA-PBE) data for an optimized crystal structure of Sr4Si2H, as listed in Alexandria.

Output
**Energy**: -3.219 eV/atom
**Space group**: I4/mmm
**M_tot**: 0.67 μB/f.u.

Cell: 5.5913 5.5913 8.1513 Å, 69.94 69.94 90.00°
Element x y z (fractional)
1 Sr 0.7996 0.7996 0.4008
2 Sr 0.2004 0.2004 0.5992
3 Sr 0.0000 0.5000 0.0000
4 Sr 0.5000 0.0000 0.0000
5 Si 0.5898 0.5898 0.8204
6 Si 0.4102 0.4102 0.1796
7 H 0.0000 0.0000 0.0000


Entry 4:
First-principles (GGA-PBE) data for an optimized crystal structure of SrSiH3, as listed in Alexandria.

Output
**Energy**: -2.784 eV/atom
**Space group**: Pm-3m
**M_tot**: 0.00 μB/f.u.

Cell: 4.3412 4.3412 4.3412 Å, 90.00 90.00 90.00°
Element x y z (fractional)
1 Sr 0.0000 0.0000 0.0000
2 Si 0.5000 0.5000 0.5000
3 H 0.0000 0.5000 0.0000
4 H 0.0000 0.0000 0.5000
5 H 0.5000 0.0000 0.0000